{"formula": "SrCaPr2Tl4", "functional": "PBE-GGA", "state": "relaxed", "lattice_angstrom": [[2.800, 1.616, 9.179], [-2.800, 1.616, 9.179], [0.000, -3.233, 9.179]], "species": ["Sr", "Ca", "Pr", "Pr", "Tl", "Tl", "Tl", "Tl"], "fractional_positions": [[0.000, 0.000, 0.000], [0.500, 0.500, 0.500], [0.248, 0.248, 0.248], [0.752, 0.752, 0.752], [0.126, 0.126, 0.126], [0.376, 0.376, 0.376], [0.624, 0.624, 0.624], [0.874, 0.874, 0.874]], "e_form_ev_per_atom": -0.38, "space_group": "R-3m"}